(1)
Entry from the Alexandria database: Sn5SbPt3 after structural relaxation (PBE).

Lattice parameters (Å, degrees): 7.4133 7.4133 9.7146 107.15 107.15 72.53
With the nearest neighbours (Å) after each atom.
Fractional positions:
1 Sn 0.0660 0.0660 0.3660  3 Pt 2.64-2.69
2 Sn 0.1344 0.5320 0.3304  3 Pt 2.64-2.71
3 Sn 0.1977 0.8023 0.0000  3 Pt 2.65-2.69
4 Sn 0.2643 0.2643 0.9618  3 Pt 2.64-2.70
5 Sn 0.4680 0.8656 0.6696  3 Pt 2.64-2.71
6 Sn 0.5320 0.1344 0.3304  3 Pt 2.64-2.71
7 Sn 0.7357 0.7357 0.0382  3 Pt 2.64-2.70
8 Sn 0.8023 0.1977 0.0000  3 Pt 2.65-2.69
9 Sn 0.8656 0.4680 0.6696  3 Pt 2.64-2.71
10 Sn 0.9340 0.9340 0.6340  3 Pt 2.64-2.69
11 Sb 0.4018 0.4018 0.7032  3 Pt 2.64-2.70
12 Sb 0.5982 0.5982 0.2968  3 Pt 2.64-2.70
13 Pt 0.1658 0.1658 0.6630  5 Sn 2.64-2.70, 1 Sb 2.70
14 Pt 0.1673 0.1673 0.1661  6 Sn 2.64-2.69
15 Pt 0.5000 0.5000 0.0000  4 Sn 2.65-2.70, 2 Sb 2.69
16 Pt 0.5000 0.5000 0.5000  2 Sb 2.64, 4 Sn 2.71
17 Pt 0.8327 0.8327 0.8339  6 Sn 2.64-2.69
18 Pt 0.8342 0.8342 0.3370  5 Sn 2.64-2.70, 1 Sb 2.70

Results
- SG: C2/m (12)



(2)
Entry from the Alexandria database: Sn2Sb2Pt after structural relaxation (PBE).

Lattice parameters (Å, degrees): 6.7519 6.7519 6.2496 90.00 90.00 90.00
With the nearest neighbours (Å) after each atom.
Fractional positions:
1 Sn 0.1861 0.3139 0.0000  2 Sb 3.15, 4 Sn 3.48
2 Sn 0.3139 0.8139 0.0000  2 Sb 3.15, 4 Sn 3.48
3 Sn 0.6861 0.1861 0.0000  2 Sb 3.15, 4 Sn 3.48
4 Sn 0.8139 0.6861 0.0000  2 Sb 3.15, 4 Sn 3.48
5 Sb 0.1472 0.3528 0.5000  2 Pt 2.58, 1 Sb 2.81
6 Sb 0.3528 0.8528 0.5000  2 Pt 2.58, 1 Sb 2.81
7 Sb 0.6472 0.1472 0.5000  2 Pt 2.58, 1 Sb 2.81
8 Sb 0.8528 0.6472 0.5000  2 Pt 2.58, 1 Sb 2.81
9 Pt 0.0000 0.0000 0.5000  4 Sb 2.58
10 Pt 0.5000 0.5000 0.5000  4 Sb 2.58

Results
- SG: P4/mbm (127)



(3)
Entry from the Alexandria database: SnSb2Pt9 after structural relaxation (PBE).

Lattice parameters (Å, degrees): 4.1303 3.9266 12.6787 90.00 93.89 90.00
With the nearest neighbours (Å) after each atom.
Fractional positions:
1 Sn 0.0000 0.0000 0.0000  12 Pt 2.85-2.89
2 Sb 0.0438 0.0000 0.3338  10 Pt 2.73-2.95
3 Sb 0.9562 0.0000 0.6662  10 Pt 2.73-2.95
4 Pt 0.0000 0.5000 0.5000  6 Pt 2.77-2.85, 4 Sb 2.90
5 Pt 0.0419 0.5000 0.1645  8 Pt 2.83-2.95, 2 Sn 2.86, 2 Sb 2.91
6 Pt 0.4328 0.5000 0.6769  7 Pt 2.77-3.01, 4 Sb 2.78-2.93
7 Pt 0.4660 0.0000 0.8406  8 Pt 2.81-2.87, 2 Sn 2.88-2.89, 2 Sb 2.95-3.10
8 Pt 0.5000 0.0000 0.5000  2 Sb 2.73, 8 Pt 2.85-3.01
9 Pt 0.5000 0.5000 0.0000  8 Pt 2.81-2.95, 4 Sn 2.85
10 Pt 0.5340 0.0000 0.1594  8 Pt 2.81-2.87, 2 Sn 2.88-2.89, 2 Sb 2.95-3.10
11 Pt 0.5672 0.5000 0.3231  7 Pt 2.77-3.01, 4 Sb 2.78-2.93
12 Pt 0.9581 0.5000 0.8355  8 Pt 2.83-2.95, 2 Sn 2.86, 2 Sb 2.91

Results
- SG: P2/m (10)



(4)
Entry from the Alexandria database: SnSb2Pt2 after structural relaxation (PBE).

Lattice parameters (Å, degrees): 8.1157 8.1157 8.1157 151.91 151.91 40.14
With the nearest neighbours (Å) after each atom.
Fractional positions:
1 Sn 0.0000 0.0000 0.0000  8 Sb 3.38
2 Sb 0.3745 0.3745 0.0000  4 Pt 2.74
3 Sb 0.6255 0.6255 0.0000  4 Pt 2.74
4 Pt 0.2500 0.7500 0.5000  4 Sb 2.74, 4 Pt 2.78
5 Pt 0.7500 0.2500 0.5000  4 Sb 2.74, 4 Pt 2.78

Results
- SG: I4/mmm (139)



(5)
Entry from the Alexandria database: SnSbPt after structural relaxation (PBE).

Lattice parameters (Å, degrees): 5.4886 3.9774 6.6826 90.00 91.63 90.00
With the nearest neighbours (Å) after each atom.
Fractional positions:
1 Sn 0.2115 0.0000 0.1382  3 Pt 2.71-2.72, 1 Sn 2.93
2 Sn 0.7885 0.0000 0.8618  3 Pt 2.71-2.72, 1 Sn 2.93
3 Sb 0.2931 0.5000 0.6334  3 Pt 2.67-2.69, 1 Sb 2.93
4 Sb 0.7069 0.5000 0.3666  3 Pt 2.67-2.69, 1 Sb 2.93
5 Pt 0.0000 0.0000 0.5000  4 Sb 2.69, 2 Sn 2.71
6 Pt 0.5000 0.5000 0.0000  2 Sb 2.67, 4 Sn 2.72

Results
- SG: P2/m (10)



(6)
Entry from the Alexandria database: SnSbPt after structural relaxation (PBE).

Lattice parameters (Å, degrees): 6.7463 6.7828 6.7483 90.00 111.01 90.00
With the nearest neighbours (Å) after each atom.
Fractional positions:
1 Sn 0.1463 0.1439 0.3571  3 Pt 2.70-2.73, 1 Sb 2.91
2 Sn 0.1463 0.3561 0.8571  3 Pt 2.70-2.73, 1 Sb 2.91
3 Sn 0.8537 0.6439 0.1429  3 Pt 2.70-2.73, 1 Sb 2.91
4 Sn 0.8537 0.8561 0.6429  3 Pt 2.70-2.73, 1 Sb 2.91
5 Sb 0.3453 0.6336 0.6567  3 Pt 2.68-2.69, 1 Sn 2.91
6 Sb 0.3453 0.8664 0.1567  3 Pt 2.68-2.69, 1 Sn 2.91
7 Sb 0.6547 0.1336 0.8433  3 Pt 2.68-2.69, 1 Sn 2.91
8 Sb 0.6547 0.3664 0.3433  3 Pt 2.68-2.69, 1 Sn 2.91
9 Pt 0.2584 0.5025 0.2577  3 Sb 2.68-2.69, 3 Sn 2.70-2.73
10 Pt 0.2584 0.9975 0.7577  3 Sb 2.68-2.69, 3 Sn 2.70-2.73
11 Pt 0.7416 0.0025 0.2423  3 Sb 2.68-2.69, 3 Sn 2.70-2.73
12 Pt 0.7416 0.4975 0.7423  3 Sb 2.68-2.69, 3 Sn 2.70-2.73

Results
- SG: P2_1/c (14)



no.,uncorrected energy (eV/atom)
1,-5.002
2,-4.477
3,-5.776
4,-5.011
5,-5.173
6,-5.191